1.
A relaxed BaCdIn2Pd crystal, computed with GGA-PBE.

The crystal system is tetragonal.

The structure belongs to space group P4/nmm (No. 129, origin choice 2); the cell edges are 4.933, 4.933 and 11.492 Å and the angles 90.00°, 90.00° and 90.00°. The distinct sites, in fractional coordinates, are Ba at (0.250, 0.250, 0.230), Cd at (0.250, 0.250, 0.648), In at (0.250, 0.250, 0.903), In at (0.250, 0.750, 0.500) and Pd at (0.250, 0.750, 0.000).

***

2.
A relaxed BaCd2InPd crystal, computed with GGA-PBE.

The crystal system is tetragonal.

The structure belongs to space group I4mm (No. 107); the cell edges are 4.687, 4.687 and 12.358 Å and the angles 90.00°, 90.00° and 90.00°. The distinct sites, in fractional coordinates, are Ba at (0.000, 0.000, 0.000), Cd at (0.000, 0.500, 0.266), In at (0.000, 0.000, 0.614) and Pd at (0.000, 0.000, 0.395).

***

3.
A relaxed BaCdInSnPd crystal, computed with GGA-PBE.

The crystal system is tetragonal.

The structure belongs to space group P4/nmm (No. 129, origin choice 2); the cell edges are 5.006, 5.006 and 11.195 Å and the angles 90.00°, 90.00° and 90.00°. The distinct sites, in fractional coordinates, are Ba at (0.250, 0.250, 0.237), Cd at (0.250, 0.250, 0.650), In at (0.250, 0.250, 0.908), Sn at (0.250, 0.750, 0.500) and Pd at (0.250, 0.750, 0.000).

***

4.
A relaxed BaCdInSnPd crystal, computed with GGA-PBE.

The crystal system is tetragonal.

The structure belongs to space group P4/nmm (No. 129, origin choice 2); the cell edges are 4.874, 4.874 and 11.479 Å and the angles 90.00°, 90.00° and 90.00°. The distinct sites, in fractional coordinates, are Ba at (0.250, 0.250, 0.246), Cd at (0.250, 0.750, 0.500), In at (0.250, 0.750, 0.000), Sn at (0.250, 0.250, 0.655) and Pd at (0.250, 0.250, 0.887).

***

5.
A relaxed BaCdInSnPd crystal, computed with GGA-PBE.

The crystal system is tetragonal.

The structure belongs to space group P4/nmm (No. 129, origin choice 2); the cell edges are 4.894, 4.894 and 11.571 Å and the angles 90.00°, 90.00° and 90.00°. The distinct sites, in fractional coordinates, are Ba at (0.250, 0.250, 0.234), Cd at (0.250, 0.250, 0.647), In at (0.250, 0.750, 0.500), Sn at (0.250, 0.250, 0.901) and Pd at (0.250, 0.750, 0.000).

***

6.
A relaxed BaCdInSnPd crystal, computed with GGA-PBE.

The crystal system is tetragonal.

The structure belongs to space group P4/nmm (No. 129, origin choice 2); the cell edges are 4.841, 4.841 and 11.644 Å and the angles 90.00°, 90.00° and 90.00°. The distinct sites, in fractional coordinates, are Ba at (0.250, 0.250, 0.239), Cd at (0.250, 0.750, 0.500), In at (0.250, 0.250, 0.652), Sn at (0.250, 0.750, 0.000) and Pd at (0.250, 0.250, 0.887).

***

The VASP energy results, record by record, are as follows: -3.154; -2.726; -3.434; -3.509; -3.467; -3.481 eV per atom.